(1)
DyZr3Sc7 | GGA-PBE | relaxed

```
11
Lattice="6.467 0.000 0.000 -3.234 5.601 0.000 0.000 0.000 7.793" Properties=species:S:1:pos:R:3 pbc="T T T"
Dy 0.000 0.000 0.000
Zr 0.000 1.887 5.128
Zr -1.600 4.657 5.128
Zr 1.600 4.657 5.128
Sc -1.606 2.806 7.674
Sc 0.000 3.734 2.556
Sc 1.619 0.935 2.661
Sc 1.606 2.806 7.674
Sc 0.000 5.589 7.674
Sc 4.848 0.935 2.661
Sc 3.234 3.731 2.661
```

Properties
**E_form**: 247 meV/atom
**DOS(E_F)**: 15.90 states/eV per cell
**Space-group type**: P3m1, No. 156

***

(2)
CaMg2CuH | GGA-PBE | relaxed

```
5
Lattice="4.389 0.000 0.000 0.000 4.389 0.000 0.000 0.000 4.651" Properties=species:S:1:pos:R:3 pbc="T T T"
Ca 0.000 0.000 0.000
Mg 0.000 2.195 2.325
Mg 2.195 0.000 2.325
Cu 2.195 2.195 0.000
H 0.000 0.000 2.325
```

Properties
**Raw total energy**: -12.8 eV for the cell shown
**DOS(E_F)**: 1.47 states/eV per cell
**Space-group type**: P4/mmm, No. 123

***

(3)
HgAuBr2 | GGA-PBE | relaxed

```
4
Lattice="4.412 -1.965 0.000 4.412 1.965 0.000 -4.103 0.000 7.513" Properties=species:S:1:pos:R:3 pbc="T T T"
Hg 0.000 0.000 0.000
Au -2.052 0.000 3.756
Br 3.187 0.000 2.186
Br 1.534 0.000 5.327
```

Properties
**Offset from the most stable computed form**: 61.1 meV/atom
**DOS(E_F)**: 1.19 states/eV per cell
**Energy relative to the elements, uncorrected**: -23 kJ/mol of formula units
**Space-group type**: C2/m, No. 12